# Rb2TmAgBr6 (PBE, optimized geometry)
data_Rb2TmAgBr6
_cell_length_a 7.843
_cell_length_b 8.040
_cell_length_c 11.004
_cell_angle_alpha 90.00
_cell_angle_beta 89.85
_cell_angle_gamma 90.00
_space_group_name_H-M_alt 'P 1'
_space_group_IT_number 1
_space_group_name_Hall 'P 1'
loop_
_atom_site_label
_atom_site_type_symbol
_atom_site_fract_x
_atom_site_fract_y
_atom_site_fract_z
Br1 Br 0.198 0.217 0.036
Br2 Br 0.927 0.510 0.247
Tm1 Tm 0.500 0.000 0.500
Tm2 Tm 0.000 0.500 0.000
Rb1 Rb 0.484 0.442 0.249
Br3 Br 0.698 0.283 0.536
Br4 Br 0.802 0.783 0.964
Ag1 Ag 0.500 0.000 0.000
Br5 Br 0.716 0.300 0.963
Rb2 Rb 0.984 0.058 0.749
Rb3 Rb 0.016 0.942 0.251
Br6 Br 0.784 0.800 0.537
Ag2 Ag 0.000 0.500 0.500
Rb4 Rb 0.516 0.558 0.751
Br7 Br 0.427 0.990 0.747
Br8 Br 0.302 0.717 0.464
Br9 Br 0.573 0.010 0.253
Br10 Br 0.284 0.700 0.037
Br11 Br 0.073 0.490 0.753
Br12 Br 0.216 0.200 0.463
# E_form (uncorrected) ... -1.536 eV per atom
# Total moment ... 0.000 μB per formula unit
# Calculated total energy ... -0.1273 hartree per atom